Record 1
Entry from Alexandria via LeMat-Bulk: a geometry-optimized CdOsPt2 structure (PBE).

abc: 2.815 2.815 8.178
angles: 90.00 90.00 90.00
Space group P4/mmm (No. 123)
Asymmetric unit:
Cd (0.000, 0.000, 0.000) [1 per cell]
Os (0.000, 0.000, 0.500) [1 per cell]
Pt (0.500, 0.500, 0.271) [2 per cell]

Record 2
Entry from Alexandria via LeMat-Bulk: a geometry-optimized Cd2OsPt structure (PBE).

abc: 4.102 4.102 8.264
angles: 90.00 90.00 90.00
Space group I4/mmm (No. 139)
Asymmetric unit:
Cd (0.000, 0.500, 0.250) [4 per cell]
Os (0.000, 0.000, 0.000) [2 per cell]
Pt (0.000, 0.000, 0.500) [2 per cell]

no.,total moment (μB/cell),energy relative to the elements (meV per atom)
1,0.00,-8
2,1.74,400